The following is a PBE calculation of an optimized crystal structure of Tb3Dy2Y, from the Alexandria database.

Unit cell a=7.175 b=7.180 c=8.824 alpha=90.02 beta=101.72 gamma=119.96
Atoms (fractional coordinates):
Tb  0.000  0.250  0.000
Tb  0.000  0.750  0.000
Tb  0.222  0.361  0.665
Tb  0.278  0.639  0.334
Tb  0.722  0.361  0.666
Tb  0.778  0.639  0.335
Dy  0.222  0.861  0.665
Dy  0.277  0.138  0.334
Dy  0.723  0.862  0.666
Dy  0.778  0.139  0.335
Y  0.500  0.250  0.000
Y  0.500  0.750  0.000

DFT formation energy: 0.00 eV per atom
energy above the most stable polymorph in this dataset: 0 meV per atom
final energy: -4.9257 eV/atom
space group: P-1
crystal system: triclinic

---

The following is a PBE calculation of an optimized crystal structure of Tb3DyY2, from the Alexandria database.

Unit cell a=7.183 b=7.186 c=8.838 alpha=90.05 beta=101.71 gamma=119.96
Atoms (fractional coordinates):
Tb  0.000  0.249  0.001
Tb  0.000  0.751  0.999
Tb  0.223  0.862  0.667
Tb  0.277  0.138  0.333
Tb  0.723  0.862  0.667
Tb  0.777  0.138  0.333
Dy  0.500  0.249  0.001
Dy  0.500  0.751  0.999
Y  0.222  0.361  0.666
Y  0.278  0.639  0.334
Y  0.722  0.361  0.666
Y  0.778  0.639  0.334

DFT formation energy: 0.00 eV per atom
final energy: -5.2373 eV/atom
space group: P-1
crystal system: triclinic

---

The following is a PBE calculation of an optimized crystal structure of Tb2DyY, from the Alexandria database.

Unit cell a=11.674 b=11.674 c=11.674 alpha=17.67 beta=17.67 gamma=17.67
Atoms (fractional coordinates):
Tb  0.000  0.000  0.000
Tb  0.167  0.167  0.167
Dy  0.583  0.583  0.583
Y  0.750  0.750  0.750

DFT formation energy: 0.01 eV per atom
energy above the most stable polymorph in this dataset: 0 meV per atom
final energy: -5.0732 eV/atom
space group: R3m
crystal system: trigonal